Compound: HfSiPO2
Source: Alexandria via LeMat-Bulk
Functional: PBE
Structure: relaxed

Cell and atoms, written as extended XYZ:
```
5
Lattice="-1.177 2.446 2.877 0.884 -2.751 2.701 5.107 2.012 0.378" Properties=species:S:1:pos:R:3 pbc="T T T"
P 2.554 1.006 0.189
Si 2.407 0.854 2.978
Hf 0.000 0.000 0.000
O 0.442 -1.376 1.350
O -0.588 1.223 1.438
```

Computed properties:
VASP energy (eV for the cell shown): -36.908
DOS(E_F) (states/eV/cell): 3.1
Total moment (μB/atom): 0.0000
SG: P4/mmm, No. 123